Here is crystalline Bi3CO at its relaxed geometry from Alexandria via LeMat-Bulk. Energies are from PBE.

Properties
excess energy over the best structure of this formula in the dataset	0	meV/atom
formation energy without anion corrections	5.64	eV per formula unit

Cell and atoms, written as CIF:
```
data_Bi3CO
_symmetry_space_group_name_H-M 'P m -3 m'
_symmetry_Int_Tables_number 221
_symmetry_space_group_name_Hall '-P 4 2 3'
_cell_length_a 4.877
_cell_length_b 4.877
_cell_length_c 4.877
_cell_angle_alpha 90.00
_cell_angle_beta 90.00
_cell_angle_gamma 90.00
loop_
_atom_site_label
_atom_site_type_symbol
_atom_site_fract_x
_atom_site_fract_y
_atom_site_fract_z
Bi1 Bi 0.000 0.000 0.500
C1 C 0.500 0.500 0.500
O1 O 0.000 0.000 0.000
```